[1]
CaHoCd4 after structural relaxation, computed with PBE.

- V: 153.0 Å³ per cell
- Calculated density: 7.1 g/cm3
- VASP energy: -2.031 eV per atom
- Calculated formation energy: -0.325 eV/atom

Cell lengths 4.9677, 4.9671, 8.7234 Å; angles 73.42, 73.40, 120.02 degrees
Fractional coordinates of all 6 atoms:
Cd1 0.4397 0.1026 0.7258
Cd2 0.5629 0.8920 0.2705
Cd3 0.1065 0.4356 0.7259
Cd4 0.8962 0.5589 0.2704
Ho1 0.0013 0.9973 0.4981
Ca1 0.5013 0.4973 0.9981

---

[2]
Cs2BaTmI6 after structural relaxation, computed with PBE.

- ΔE_f (raw): -1365.5 kJ/mol of formula units
- V: 1049.0 Å³ per cell
- Calculated density: 4.2 g/cm3
- VASP energy: -3.155 eV per atom

Cell lengths 8.7736, 9.3514, 12.7853 Å; angles 90.00, 90.00, 90.00 degrees
Fractional coordinates of all 20 atoms:
Ba1 0.5000 0.2767 0.0000
Ba2 0.0000 0.7233 0.5000
I1 0.2626 0.9930 0.5000
I2 0.7626 0.0070 0.0000
I3 0.0000 0.7705 0.7644
I4 0.2374 0.0070 0.0000
I5 0.0000 0.7705 0.2356
I6 0.5000 0.2295 0.2644
I7 0.7553 0.5494 0.0000
I8 0.2553 0.4506 0.5000
I9 0.5000 0.2295 0.7356
I10 0.2447 0.5494 0.0000
I11 0.7374 0.9930 0.5000
I12 0.7447 0.4506 0.5000
Tm1 0.0000 0.7737 0.0000
Tm2 0.5000 0.2263 0.5000
Cs1 0.0000 0.2096 0.2779
Cs2 0.0000 0.2096 0.7221
Cs3 0.5000 0.7904 0.2221
Cs4 0.5000 0.7904 0.7779

---

[3]
Y3UC3 after structural relaxation, computed with PBE.

- V: 515.0 Å³ per cell
- Calculated density: 7.0 g/cm3
- VASP energy: -8.574 eV per atom
- Calculated formation energy: -0.238 eV/atom

Cell lengths 5.1005, 10.0466, 10.0495 Å; angles 90.00, 90.00, 90.00 degrees
Fractional coordinates of all 28 atoms:
Y1 0.0000 0.3671 0.3671
Y2 0.5000 0.1242 0.3791
Y3 0.0000 0.6329 0.6329
Y4 0.0000 0.8791 0.3758
Y5 0.0000 0.1209 0.6242
Y6 0.5000 0.3791 0.1242
Y7 0.0000 0.3758 0.8791
Y8 0.5000 0.8758 0.6209
Y9 0.5000 0.6209 0.8758
Y10 0.0000 0.6242 0.1209
Y11 0.5000 0.8671 0.1329
Y12 0.5000 0.1329 0.8671
C1 0.0000 0.3500 0.1226
C2 0.5000 0.1500 0.6226
C3 0.5000 0.8500 0.3774
C4 0.0000 0.1055 0.8945
C5 0.0000 0.6500 0.8774
C6 0.0000 0.8774 0.6500
C7 0.0000 0.1226 0.3500
C8 0.5000 0.6226 0.1500
C9 0.5000 0.3945 0.3945
C10 0.5000 0.3774 0.8500
C11 0.5000 0.6055 0.6055
C12 0.0000 0.8945 0.1055
U1 0.5000 0.6248 0.3752
U2 0.5000 0.3752 0.6248
U3 0.0000 0.8752 0.8752
U4 0.0000 0.1248 0.1248

---

[4]
Ta5Ru3 after structural relaxation, computed with PBE.

- V: 132.6 Å³ per cell
- Calculated density: 15.1 g/cm3
- VASP energy: -11.167 eV per atom
- Calculated formation energy: -0.281 eV/atom

Cell lengths 3.2042, 3.2042, 12.9186 Å; angles 90.00, 90.00, 90.00 degrees
Fractional coordinates of all 8 atoms:
Ru1 0.5000 0.5000 0.8791
Ru2 0.5000 0.5000 0.1209
Ru3 0.0000 0.0000 0.5000
Ta1 0.5000 0.5000 0.6232
Ta2 0.0000 0.0000 0.7563
Ta3 0.0000 0.0000 0.0000
Ta4 0.5000 0.5000 0.3768
Ta5 0.0000 0.0000 0.2437

---

[5]
In2SnPd3 after structural relaxation, computed with PBE.

- V: 220.7 Å³ per cell
- Calculated density: 10.0 g/cm3
- VASP energy: -4.590 eV per atom
- Calculated formation energy: -0.414 eV/atom

Cell lengths 5.7164, 5.3269, 7.8415 Å; angles 96.55, 111.38, 90.00 degrees
Fractional coordinates of all 12 atoms:
Pd1 0.7100 0.4188 0.6687
Pd2 0.6354 0.2500 0.0000
Pd3 0.2900 0.5812 0.3313
Pd4 0.0413 0.0812 0.3313
Pd5 0.9587 0.9188 0.6687
Pd6 0.3646 0.7500 0.0000
In1 0.5469 0.0794 0.3382
In2 0.7914 0.5794 0.3382
In3 0.4531 0.9206 0.6618
In4 0.2086 0.4206 0.6618
Sn1 0.8613 0.7500 0.0000
Sn2 0.1387 0.2500 0.0000

---

[6]
Tb5Co2Pt after structural relaxation, computed with PBE.

- V: 368.8 Å³ per cell
- Calculated density: 10.0 g/cm3
- VASP energy: -5.893 eV per atom
- Calculated formation energy: -0.467 eV/atom

Cell lengths 7.2168, 7.2168, 8.7278 Å; angles 114.42, 114.42, 90.00 degrees
Fractional coordinates of all 16 atoms:
Tb1 0.5000 0.5000 0.0000
Tb2 0.3162 0.8162 0.2800
Tb3 0.0362 0.5362 0.7200
Tb4 0.0000 0.0000 0.0000
Tb5 0.6838 0.1838 0.7200
Tb6 0.9638 0.4638 0.2800
Tb7 0.4638 0.3162 0.2800
Tb8 0.1838 0.0362 0.7200
Tb9 0.5362 0.6838 0.7200
Tb10 0.8162 0.9638 0.2800
Co1 0.3876 0.8876 0.0000
Co2 0.1124 0.3876 0.0000
Co3 0.6124 0.1124 0.0000
Co4 0.8876 0.6124 0.0000
Pt1 0.7500 0.7500 0.5000
Pt2 0.2500 0.2500 0.5000

---

[7]
DyZn5Pd6 after structural relaxation, computed with PBE.

- V: 186.6 Å³ per cell
- Calculated density: 10.0 g/cm3
- VASP energy: -4.121 eV per atom
- Calculated formation energy: -0.611 eV/atom

Cell lengths 4.1601, 7.1333, 6.6226 Å; angles 90.00, 108.25, 90.00 degrees
Fractional coordinates of all 12 atoms:
Zn1 0.6648 0.5000 0.3294
Zn2 0.0000 0.5000 0.0000
Zn3 0.3352 0.5000 0.6706
Zn4 0.3232 0.0000 0.6463
Zn5 0.6768 0.0000 0.3537
Pd1 0.1706 0.7363 0.3412
Pd2 0.8294 0.2637 0.6588
Pd3 0.8294 0.7363 0.6588
Pd4 0.1706 0.2637 0.3412
Pd5 0.5000 0.7318 0.0000
Pd6 0.5000 0.2682 0.0000
Dy1 0.0000 0.0000 0.0000

---

[8]
AlCd2Sn after structural relaxation, computed with PBE.

- V: 92.1 Å³ per cell
- Calculated density: 6.7 g/cm3
- VASP energy: -2.255 eV per atom
- Calculated formation energy: 0.139 eV/atom

Cell lengths 4.5967, 4.4750, 4.4750 Å; angles 90.00, 90.00, 90.00 degrees
Fractional coordinates of all 4 atoms:
Sn1 0.5000 0.5000 0.5000
Al1 0.5000 0.0000 0.0000
Cd1 0.0000 0.0000 0.5000
Cd2 0.0000 0.5000 0.0000

---

Which of these has the lowest calculated density? Cs2BaTmI6

---

Which of these has the lowest VASP energy? Ta5Ru3

---

Which value of calculated density does entry 5 give? 10.0 g/cm3

---

Copy entry 1 word for word.
CaHoCd4 after structural relaxation, computed with PBE.

- V: 153.0 Å³ per cell
- Calculated density: 7.1 g/cm3
- VASP energy: -2.031 eV per atom
- Calculated formation energy: -0.325 eV/atom

Cell lengths 4.9677, 4.9671, 8.7234 Å; angles 73.42, 73.40, 120.02 degrees
Fractional coordinates of all 6 atoms:
Cd1 0.4397 0.1026 0.7258
Cd2 0.5629 0.8920 0.2705
Cd3 0.1065 0.4356 0.7259
Cd4 0.8962 0.5589 0.2704
Ho1 0.0013 0.9973 0.4981
Ca1 0.5013 0.4973 0.9981